[1]
DFT (PBE) results for Sc3Sb2Rh after structural relaxation.

The structure belongs to space group Pnma (No. 62); the cell edges are 11.401, 4.244 and 11.082 Å and the angles 90.00°, 90.00° and 90.00°. The inequivalent atoms are Sc at (0.054, 0.250, 0.126), Sc at (0.120, 0.750, 0.550), Sc at (0.247, 0.250, 0.791), Sb at (0.010, 0.250, 0.700), Sb at (0.185, 0.750, 0.001) and Rh at (0.121, 0.250, 0.365).

For the energy, the calculation gives -6.66 eV/atom. The value obtained for the density of states at the Fermi level is 3.280 states/eV/f.u. The formation energy without anion corrections is -0.8971 eV/atom.

=====

[2]
DFT (PBE) results for BaCaN2O after structural relaxation.

The structure belongs to space group P4/mmm (No. 123); the cell edges are 4.635, 4.635 and 4.462 Å and the angles 90.00°, 90.00° and 90.00°. The inequivalent atoms are Ba at (0.000, 0.000, 0.000), Ca at (0.500, 0.500, 0.500), N at (0.000, 0.500, 0.500) and O at (0.500, 0.500, 0.000).

For the energy, the calculation gives -5.21 eV/atom. The value obtained for the density of states at the Fermi level is 1.896 states/eV/f.u. The formation energy without anion corrections is -0.1057 eV/atom.

=====

[3]
DFT (PBE) results for Ag2RhSe after structural relaxation.

The structure belongs to space group Pmm2 (No. 25); the cell edges are 3.146, 3.255 and 6.991 Å and the angles 90.00°, 90.00° and 90.00°. The inequivalent atoms are Ag at (0.000, 0.000, 0.000), Ag at (0.500, 0.500, 0.254), Rh at (0.000, 0.000, 0.531) and Se at (0.500, 0.500, 0.687).

For the energy, the calculation gives -4.12 eV/atom. The value obtained for the density of states at the Fermi level is 2.251 states/eV/f.u. The formation energy without anion corrections is 0.0188 eV/atom.

=====

[4]
DFT (PBE) results for NbMoP2 after structural relaxation.

The structure belongs to space group Fm-3m (No. 225); the cell edges are 6.131, 6.131 and 6.131 Å and the angles 90.00°, 90.00° and 90.00°. The inequivalent atoms are Nb at (0.000, 0.000, 0.000), Mo at (0.000, 0.000, 0.500) and P at (0.250, 0.250, 0.250).

For the energy, the calculation gives -8.38 eV/atom. The value obtained for the density of states at the Fermi level is 5.602 states/eV/f.u. As for the energy above the most stable polymorph in this dataset: 0.123 eV/atom. For the energy relative to the elements, the calculation gives -1.81 eV per formula unit.

=====

[5]
DFT (PBE) results for Ca3SiAu3 after structural relaxation.

The structure belongs to space group C2/m (No. 12); the cell edges are 10.889, 4.332 and 15.134 Å and the angles 90.00°, 109.98° and 90.00°. The inequivalent atoms are Ca at (0.030, 0.000, 0.390), Ca at (0.102, 0.000, 0.920), Ca at (0.249, 0.500, 0.766), Si at (0.242, 0.500, 0.394), Au at (0.040, 0.500, 0.242), Au at (0.118, 0.500, 0.079) and Au at (0.149, 0.500, 0.545).

For the energy, the calculation gives -3.74 eV/atom. The value obtained for the density of states at the Fermi level is 3.085 states/eV/f.u. The formation energy without anion corrections is -0.7077 eV/atom.

=====

[6]
DFT (PBE) results for Na3Zr3AgS8 after structural relaxation.

The structure belongs to space group R-3m (No. 166, hexagonal axes); the cell edges are 7.5652, 7.5652 and 19.9770 Å and the angles 90.00°, 90.00° and 120.00°. The inequivalent atoms are Na at (0.0000, 0.5000, 0.0000), Zr at (0.0000, 0.5000, 0.5000), Ag at (0.0000, 0.0000, 0.5000), S at (0.0000, 0.0000, 0.2412) and S at (0.0207, 0.5104, 0.7606).

For the energy, the calculation gives -5.62 eV/atom. The value obtained for the density of states at the Fermi level is 3.493 states/eV/f.u. The formation energy without anion corrections is -1.2583 eV/atom.

=====

[7]
DFT (PBE) results for Nd5Ga2Te2 after structural relaxation.

The structure belongs to space group Cmce (No. 64); the cell edges are 15.883, 8.161 and 8.177 Å and the angles 90.00°, 90.00° and 90.00°. The inequivalent atoms are Nd at (0.000, 0.000, 0.000), Nd at (0.131, 0.171, 0.331), Ga at (0.000, 0.122, 0.618) and Te at (0.204, 0.000, 0.000).

For the energy, the calculation gives -4.96 eV/atom. The value obtained for the density of states at the Fermi level is 11.553 states/eV/f.u. The formation energy without anion corrections is -0.9355 eV/atom.

=====

[8]
DFT (PBE) results for PmNd3Pb2S after structural relaxation.

The structure belongs to space group Immm (No. 71); the cell edges are 5.241, 5.274 and 16.697 Å and the angles 90.00°, 90.00° and 90.00°. The inequivalent atoms are Pm at (0.000, 0.000, 0.000), Nd at (0.000, 0.000, 0.500), Nd at (0.000, 0.500, 0.331), Pb at (0.000, 0.500, 0.137) and S at (0.000, 0.500, 0.500).

For the energy, the calculation gives -5.17 eV/atom. The value obtained for the density of states at the Fermi level is 4.426 states/eV/f.u. The formation energy without anion corrections is -0.7941 eV/atom.

=====

[9]
DFT (PBE) results for BaCdGa2Co after structural relaxation.

The structure belongs to space group P4/mmm (No. 123); the cell edges are 4.734, 4.734 and 5.105 Å and the angles 90.00°, 90.00° and 90.00°. The inequivalent atoms are Ba at (0.000, 0.000, 0.000), Cd at (0.500, 0.500, 0.000), Ga at (0.000, 0.500, 0.500) and Co at (0.500, 0.500, 0.500).

For the energy, the calculation gives -3.48 eV/atom. The value obtained for the density of states at the Fermi level is 4.002 states/eV/f.u. For the energy relative to the elements, the calculation gives -1.39 eV per formula unit.

=====

[10]
DFT (PBE) results for RbS after structural relaxation.

The structure belongs to space group Fddd (No. 70, origin choice 2); the cell edges are 7.191, 11.082 and 13.524 Å and the angles 90.00°, 90.00° and 90.00°. The inequivalent atoms are Rb at (0.125, 0.343, 0.125) and S at (0.024, 0.375, 0.875).

For the energy, the calculation gives -3.39 eV/atom. The formation energy without anion corrections is -0.8396 eV/atom.

=====

[11]
DFT (PBE) results for KSr2PaO5 after structural relaxation.

The structure belongs to space group Immm (No. 71); the cell edges are 4.402, 6.367 and 12.007 Å and the angles 90.00°, 90.00° and 90.00°. The inequivalent atoms are K at (0.000, 0.000, 0.000), Sr at (0.000, 0.500, 0.224), Pa at (0.000, 0.000, 0.500), O at (0.000, 0.224, 0.363) and O at (0.000, 0.500, 0.000).

For the energy, the calculation gives -7.25 eV/atom. The value obtained for the density of states at the Fermi level is 0.000 states/eV/f.u. The formation energy without anion corrections is -2.9444 eV/atom.

=====

[12]
DFT (PBE) results for PaSiCl after structural relaxation.

The structure belongs to space group C2/m (No. 12); the cell edges are 6.953, 4.016 and 11.087 Å and the angles 90.00°, 102.13° and 90.00°. The inequivalent atoms are Pa at (0.056, 0.000, 0.166), Si at (0.166, 0.500, 0.998) and Cl at (0.222, 0.000, 0.667).

For the energy, the calculation gives -6.63 eV/atom. The value obtained for the density of states at the Fermi level is 4.183 states/eV/f.u. The formation energy without anion corrections is -1.0386 eV/atom. As for the energy above the most stable polymorph in this dataset: 0.000 eV/atom.

=====

[13]
DFT (PBE) results for ZnBi2Au after structural relaxation.

The structure belongs to space group R-3m (No. 166, hexagonal axes); the cell edges are 3.4536, 3.4536 and 31.6862 Å and the angles 90.00°, 90.00° and 120.00°. The inequivalent atoms are Zn at (0.0000, 0.0000, 0.0000), Bi at (0.0000, 0.0000, 0.0929) and Au at (0.0000, 0.0000, 0.5000).

For the energy, the calculation gives -2.86 eV/atom. The value obtained for the density of states at the Fermi level is 1.986 states/eV/f.u. For the energy relative to the elements, the calculation gives 0.88 eV per formula unit.

=====

[14]
DFT (PBE) results for La4Pm3Al4 after structural relaxation.

The structure belongs to space group Immm (No. 71); the cell edges are 3.636, 9.374 and 19.338 Å and the angles 90.00°, 90.00° and 90.00°. The inequivalent atoms are La at (0.000, 0.172, 0.166), Pm at (0.000, 0.000, 0.407), Pm at (0.000, 0.500, 0.500), Al at (0.000, 0.279, 0.000) and Al at (0.000, 0.500, 0.222).

For the energy, the calculation gives -4.67 eV/atom. The value obtained for the density of states at the Fermi level is 12.679 states/eV/f.u. For the energy relative to the elements, the calculation gives -2.45 eV per formula unit.

=====

[15]
DFT (PBE) results for RhAuS2 after structural relaxation.

The structure belongs to space group P3m1 (No. 156); the cell edges are 3.9972, 3.9972 and 5.9607 Å and the angles 90.00°, 90.00° and 120.00°. The inequivalent atoms are Rh at (0.0000, 0.0000, 0.0000), Au at (0.6667, 0.3333, 0.4535), S at (0.0000, 0.0000, 0.3831) and S at (0.3333, 0.6667, 0.9231).

For the energy, the calculation gives -4.63 eV/atom. The value obtained for the density of states at the Fermi level is 2.889 states/eV/f.u. The formation energy without anion corrections is 0.0917 eV/atom.

=====

[16]
DFT (PBE) results for Cd3Sn12Pd5 after structural relaxation.

The structure belongs to space group Ia-3d (No. 230); the cell edges are 16.289, 16.289 and 16.289 Å and the angles 90.00°, 90.00° and 90.00°. The inequivalent atoms are Cd at (0.000, 0.250, 0.125), Sn at (0.030, 0.074, 0.645), Pd at (0.000, 0.000, 0.000) and Pd at (0.000, 0.250, 0.375).

For the energy, the calculation gives -3.89 eV/atom. The value obtained for the density of states at the Fermi level is 10.666 states/eV/f.u. For the energy relative to the elements, the calculation gives -1.11 eV per formula unit.

=====

[17]
DFT (PBE) results for CsTl3Cl after structural relaxation.

The structure belongs to space group Pm-3m (No. 221); the cell edges are 6.080, 6.080 and 6.080 Å and the angles 90.00°, 90.00° and 90.00°. The inequivalent atoms are Cs at (0.000, 0.000, 0.000), Tl at (0.000, 0.500, 0.500) and Cl at (0.500, 0.500, 0.500).

For the energy, the calculation gives -2.20 eV/atom. The value obtained for the density of states at the Fermi level is 3.252 states/eV/f.u. The formation energy without anion corrections is -0.2376 eV/atom. As for the energy above the most stable polymorph in this dataset: 0.000 eV/atom.